1.
The following is a DFT calculation (GGA-PBE) of crystalline LiCeSc2Hg4 at its relaxed geometry.

Cell and atoms, written as POSCAR:
```
LiCeSc2Hg4
1.0
2.474 1.428 8.707
-2.474 1.428 8.707
0.000 -2.857 8.707
Li Ce Sc Hg
1 1 2 4
Direct
0.000 0.000 0.000 Li
0.500 0.500 0.500 Ce
0.257 0.257 0.257 Sc
0.743 0.743 0.743 Sc
0.111 0.111 0.111 Hg
0.371 0.371 0.371 Hg
0.629 0.629 0.629 Hg
0.889 0.889 0.889 Hg
```

Computed properties:
Energy of formation ... -0.349 eV per atom


2.
The following is a DFT calculation (GGA-PBE) of crystalline LiCeScHg at its relaxed geometry.

Cell and atoms, written as POSCAR:
```
LiCeScHg
1.0
0.000 3.649 3.649
3.649 0.000 3.649
3.649 3.649 0.000
Li Ce Sc Hg
1 1 1 1
Direct
0.000 0.000 0.000 Li
0.750 0.750 0.750 Ce
0.250 0.250 0.250 Sc
0.500 0.500 0.500 Hg
```

Computed properties:
Energy of formation ... -0.069 eV per atom


3.
The following is a DFT calculation (GGA-PBE) of crystalline Li2CeScHg4 at its relaxed geometry.

Cell and atoms, written as POSCAR:
```
Li2CeScHg4
1.0
2.474 1.428 8.361
-2.474 1.428 8.361
0.000 -2.857 8.361
Li Ce Sc Hg
2 1 1 4
Direct
0.245 0.245 0.245 Li
0.755 0.755 0.755 Li
0.000 0.000 0.000 Ce
0.500 0.500 0.500 Sc
0.128 0.128 0.128 Hg
0.384 0.384 0.384 Hg
0.616 0.616 0.616 Hg
0.872 0.872 0.872 Hg
```

Computed properties:
Energy of formation ... -0.361 eV per atom


4.
The following is a DFT calculation (GGA-PBE) of crystalline Li2CeHgSe4 at its relaxed geometry.

Cell and atoms, written as POSCAR:
```
Li2CeHgSe4
1.0
6.970 0.000 0.000
0.000 4.121 0.000
-2.524 0.000 6.530
Li Ce Hg Se
2 1 1 4
Direct
0.000 0.000 0.000 Li
0.500 0.500 0.000 Li
0.000 0.500 0.500 Ce
0.500 0.000 0.500 Hg
0.234 0.000 0.771 Se
0.256 0.500 0.255 Se
0.744 0.500 0.745 Se
0.766 0.000 0.229 Se
```

Computed properties:
Formation energy without anion corrections ... -1.069 eV/atom


5.
The following is a DFT calculation (GGA-PBE) of crystalline LiCeSiHg at its relaxed geometry.

Cell and atoms, written as POSCAR:
```
LiCeSiHg
1.0
0.000 3.525 3.525
3.525 0.000 3.525
3.525 3.525 0.000
Li Ce Si Hg
1 1 1 1
Direct
0.000 0.000 0.000 Li
0.500 0.500 0.500 Ce
0.750 0.750 0.750 Si
0.250 0.250 0.250 Hg
```

Computed properties:
Formation energy without anion corrections ... -0.339 eV/atom


6.
The following is a DFT calculation (GGA-PBE) of crystalline Li2CeSmHg4 at its relaxed geometry.

Cell and atoms, written as POSCAR:
```
Li2CeSmHg4
1.0
2.565 1.481 8.366
-2.565 1.481 8.366
0.000 -2.962 8.366
Li Ce Sm Hg
2 1 1 4
Direct
0.250 0.250 0.250 Li
0.750 0.750 0.750 Li
0.500 0.500 0.500 Ce
0.000 0.000 0.000 Sm
0.124 0.124 0.124 Hg
0.374 0.374 0.374 Hg
0.626 0.626 0.626 Hg
0.876 0.876 0.876 Hg
```

Computed properties:
Energy of formation ... -0.401 eV per atom


7.
The following is a DFT calculation (GGA-PBE) of crystalline LiCeSm2Hg4 at its relaxed geometry.

Cell and atoms, written as POSCAR:
```
LiCeSm2Hg4
1.0
2.615 1.510 8.798
-2.615 1.510 8.798
0.000 -3.020 8.798
Li Ce Sm Hg
1 1 2 4
Direct
0.000 0.000 0.000 Li
0.500 0.500 0.500 Ce
0.255 0.255 0.255 Sm
0.745 0.745 0.745 Sm
0.120 0.120 0.120 Hg
0.373 0.373 0.373 Hg
0.627 0.627 0.627 Hg
0.880 0.880 0.880 Hg
```

Computed properties:
Energy of formation ... -0.395 eV per atom


8.
The following is a DFT calculation (GGA-PBE) of crystalline LiCeSnHg at its relaxed geometry.

Cell and atoms, written as POSCAR:
```
LiCeSnHg
1.0
0.000 3.678 3.678
3.678 0.000 3.678
3.678 3.678 0.000
Li Ce Sn Hg
1 1 1 1
Direct
0.000 0.000 0.000 Li
0.500 0.500 0.500 Ce
0.750 0.750 0.750 Sn
0.250 0.250 0.250 Hg
```

Computed properties:
Energy of formation ... -0.460 eV per atom


9.
The following is a DFT calculation (GGA-PBE) of crystalline SrLiCe2Hg4 at its relaxed geometry.

Cell and atoms, written as POSCAR:
```
SrLiCe2Hg4
1.0
2.665 1.539 8.884
-2.665 1.539 8.884
0.000 -3.078 8.884
Sr Li Ce Hg
1 1 2 4
Direct
0.000 0.000 0.000 Sr
0.500 0.500 0.500 Li
0.245 0.245 0.245 Ce
0.755 0.755 0.755 Ce
0.126 0.126 0.126 Hg
0.386 0.386 0.386 Hg
0.614 0.614 0.614 Hg
0.874 0.874 0.874 Hg
```

Computed properties:
Energy of formation ... -0.339 eV per atom


10.
The following is a DFT calculation (GGA-PBE) of crystalline Li2TbCeHg4 at its relaxed geometry.

Cell and atoms, written as POSCAR:
```
Li2TbCeHg4
1.0
2.550 1.472 8.318
-2.550 1.472 8.318
0.000 -2.944 8.318
Li Tb Ce Hg
2 1 1 4
Direct
0.249 0.249 0.249 Li
0.751 0.751 0.751 Li
0.500 0.500 0.500 Tb
0.000 0.000 0.000 Ce
0.127 0.127 0.127 Hg
0.377 0.377 0.377 Hg
0.623 0.623 0.623 Hg
0.873 0.873 0.873 Hg
```

Computed properties:
Energy of formation ... -0.396 eV per atom


11.
The following is a DFT calculation (GGA-PBE) of crystalline LiTb2CeHg4 at its relaxed geometry.

Cell and atoms, written as POSCAR:
```
LiTb2CeHg4
1.0
2.583 1.491 8.771
-2.583 1.491 8.771
0.000 -2.982 8.771
Li Tb Ce Hg
1 2 1 4
Direct
0.000 0.000 0.000 Li
0.256 0.256 0.256 Tb
0.744 0.744 0.744 Tb
0.500 0.500 0.500 Ce
0.118 0.118 0.118 Hg
0.373 0.373 0.373 Hg
0.627 0.627 0.627 Hg
0.882 0.882 0.882 Hg
```

Computed properties:
Energy of formation ... -0.396 eV per atom


12.
The following is a DFT calculation (GGA-PBE) of crystalline LiTbCeHg at its relaxed geometry.

Cell and atoms, written as POSCAR:
```
LiTbCeHg
1.0
0.000 3.748 3.748
3.748 0.000 3.748
3.748 3.748 0.000
Li Tb Ce Hg
1 1 1 1
Direct
0.000 0.000 0.000 Li
0.250 0.250 0.250 Tb
0.750 0.750 0.750 Ce
0.500 0.500 0.500 Hg
```

Computed properties:
Energy of formation ... -0.093 eV per atom